First-principles (PBE) data for a relaxed Ba2Al12Cu7 crystal, as listed in Alexandria.

Computed properties:
The value obtained for the magnetization is 0.00 μB per atom. For the calculated volume, the calculation gives 17.6 A^3/atom. The space-group type is P-6, No. 174. The value obtained for the formation energy is -0.191 eV/atom.

Geometry as POSCAR:
```
Ba2Al12Cu7
1.0
4.093 0.000 0.000
0.000 8.834 -5.100
0.000 0.000 10.201
Al Cu Ba
12 7 2
Direct
0.000 0.052 0.528 Al
0.500 0.214 0.454 Al
0.000 0.476 0.948 Al
0.000 0.472 0.524 Al
0.000 0.944 0.226 Al
0.500 0.914 0.616 Al
0.500 0.239 0.786 Al
0.000 0.774 0.718 Al
0.500 0.702 0.086 Al
0.000 0.282 0.056 Al
0.500 0.546 0.761 Al
0.500 0.384 0.298 Al
0.500 0.430 0.068 Cu
0.000 0.226 0.285 Cu
0.000 0.715 0.940 Cu
0.500 0.638 0.570 Cu
0.000 0.333 0.667 Cu
0.000 0.060 0.774 Cu
0.500 0.932 0.362 Cu
0.500 0.000 0.000 Ba
0.000 0.667 0.333 Ba
```